No. 1
Material: Nd3Fe5F12
Method: DFT, PBE with a Hubbard U
State: optimized geometry

Cell: 11.731 11.731 11.731 Å, 109.47 109.47 109.47°
Site moments in Bohr magnetons follow the coordinates.
Fractional coordinates of all 80 atoms:
Nd  0.750  0.375  0.125  -0.02
Nd  0.875  0.750  0.125  -0.02
Nd  0.375  0.750  0.625  -0.02
Nd  0.250  0.125  0.375  -0.02
Nd  0.875  0.125  0.250  -0.02
Nd  0.375  0.625  0.250  -0.02
Nd  0.625  0.375  0.750  -0.02
Nd  0.125  0.875  0.750  -0.02
Nd  0.750  0.875  0.625  -0.02
Nd  0.625  0.250  0.375  -0.02
Nd  0.125  0.250  0.875  -0.02
Nd  0.250  0.625  0.875  -0.02
Fe  0.125  0.375  0.250  2.95
Fe  0.000  0.500  0.000  2.95
Fe  0.000  0.000  0.000  2.95
Fe  0.375  0.250  0.125  2.95
Fe  0.500  0.000  0.500  2.95
Fe  0.500  0.500  0.000  2.95
Fe  0.125  0.750  0.375  2.95
Fe  0.750  0.125  0.875  2.95
Fe  0.750  0.625  0.375  2.95
Fe  0.375  0.125  0.750  2.95
Fe  0.625  0.875  0.250  2.95
Fe  0.500  0.500  0.500  2.95
Fe  0.500  0.000  0.000  2.95
Fe  0.000  0.000  0.500  2.95
Fe  0.250  0.375  0.625  2.95
Fe  0.250  0.875  0.125  2.95
Fe  0.000  0.500  0.500  2.95
Fe  0.875  0.250  0.625  2.95
Fe  0.625  0.750  0.875  2.95
Fe  0.875  0.625  0.750  2.95
F  0.728  0.140  0.061  0.02
F  0.333  0.561  0.421  0.02
F  0.939  0.360  0.272  0.02
F  0.561  0.228  0.140  0.02
F  0.588  0.728  0.667  0.02
F  0.939  0.579  0.167  0.02
F  0.333  0.772  0.412  0.02
F  0.079  0.912  0.140  0.02
F  0.579  0.939  0.667  0.02
F  0.728  0.588  0.167  0.02
F  0.772  0.439  0.360  0.02
F  0.833  0.921  0.061  0.02
F  0.140  0.728  0.561  0.02
F  0.360  0.421  0.088  0.02
F  0.088  0.921  0.360  0.02
F  0.412  0.140  0.579  0.02
F  0.088  0.167  0.228  0.02
F  0.439  0.667  0.079  0.02
F  0.833  0.912  0.272  0.02
F  0.140  0.412  0.079  0.02
F  0.360  0.939  0.772  0.02
F  0.579  0.640  0.412  0.02
F  0.921  0.833  0.561  0.02
F  0.772  0.333  0.912  0.02
F  0.421  0.360  0.588  0.02
F  0.079  0.167  0.439  0.02
F  0.228  0.667  0.088  0.02
F  0.167  0.088  0.728  0.02
F  0.640  0.061  0.228  0.02
F  0.860  0.588  0.921  0.02
F  0.561  0.333  0.921  0.02
F  0.588  0.860  0.421  0.02
F  0.912  0.833  0.772  0.02
F  0.912  0.079  0.640  0.02
F  0.860  0.272  0.439  0.02
F  0.167  0.079  0.939  0.02
F  0.640  0.579  0.912  0.02
F  0.421  0.061  0.333  0.02
F  0.272  0.412  0.833  0.02
F  0.228  0.561  0.640  0.02
F  0.921  0.088  0.860  0.02
F  0.667  0.228  0.588  0.02
F  0.439  0.772  0.860  0.02
F  0.061  0.421  0.833  0.02
F  0.412  0.272  0.333  0.02
F  0.061  0.640  0.728  0.02
F  0.667  0.439  0.579  0.02
F  0.272  0.860  0.939  0.02

E_tot: -5.4895 eV per atom
space group: Ia-3d (230)



No. 2
Material: MnBO3
Method: DFT, PBE with a Hubbard U
State: optimized geometry

Cell: 5.674 5.674 5.674 Å, 48.89 48.89 48.89°
Site moments in Bohr magnetons follow the coordinates.
Fractional coordinates of all 10 atoms:
Mn  0.000  0.000  0.000  4.13
Mn  0.500  0.500  0.500  4.13
B  0.250  0.250  0.250  0.03
B  0.750  0.750  0.750  0.03
O  0.250  0.955  0.545  -0.09
O  0.045  0.455  0.750  -0.09
O  0.455  0.750  0.045  -0.09
O  0.545  0.250  0.955  -0.09
O  0.955  0.545  0.250  -0.09
O  0.750  0.045  0.455  -0.09

E_tot: -7.7724 eV per atom
space group: R-3c (167)